# VGeRhO6

A geometry-optimized VGeRhO6 structure (PBE with a Hubbard U, Alexandria).

Results
E = -6.8131 eV/atom
ρ = 5.9 Mg/m³

Lattice parameters (Å, degrees): 4.9540 4.9540 8.5942 90.00 90.00 120.00
Space group P-31c (No. 163)
Asymmetric unit:
V (0.3333, 0.6667, 0.2500) (multiplicity 2)
Ge (0.3333, 0.6667, 0.7500) (multiplicity 2)
Rh (0.0000, 0.0000, 0.0000) (multiplicity 2)
O (0.0010, 0.3502, 0.1314) (multiplicity 12)